# 1
VASP calculation (PBE-GGA) on crystalline LiY3Ga at its relaxed geometry.

Values from the calculation:
Symmetry: Cmcm
Fermi-level density of states, states/eV/cell: 10.2
Energy relative to the lowest polymorph listed for this composition, eV per atom: 0.0000
Total magnetization, μB/cell: 0.000
Energy of formation from the pure elements, eV/atom: -0.2567

a = 5.0403 Å, b = 5.0385 Å, c = 10.4008 Å
α = 90.00°, β = 75.98°, γ = 90.00°
Element x y z (fractional)
Li: 0.6652 0.7500 0.3179
Li: 0.9831 0.2500 0.6821
Y: 0.7603 0.2500 0.1278
Y: 0.3919 0.2500 0.8645
Y: 0.5756 0.2500 0.4972
Y: 0.2564 0.7500 0.1355
Y: 0.8881 0.7500 0.8722
Y: 0.0728 0.7500 0.5028
Ga: 0.4857 0.7500 0.6769
Ga: 0.1626 0.2500 0.3231

=====

# 2
VASP calculation (PBE-GGA) on crystalline LiY2Ga2 at its relaxed geometry.

Values from the calculation:
Symmetry: C2/m
Fermi-level density of states, states/eV/cell: 8.5
Energy relative to the lowest polymorph listed for this composition, eV per atom: 0.0000
Total magnetization, μB/cell: 0.000
Energy of formation from the pure elements, eV/atom: -0.4899

a = 4.4276 Å, b = 5.7935 Å, c = 9.6629 Å
α = 86.86°, β = 76.76°, γ = 67.54°
Element x y z (fractional)
Li: 0.6367 0.0877 0.6389
Li: 0.3633 0.9123 0.3611
Y: 0.6855 0.3004 0.3286
Y: 0.9162 0.2689 0.8986
Y: 0.3145 0.6996 0.6714
Y: 0.0838 0.7311 0.1014
Ga: 0.0603 0.3047 0.5747
Ga: 0.6353 0.8423 0.8871
Ga: 0.9397 0.6953 0.4253
Ga: 0.3647 0.1577 0.1129

=====

# 3
VASP calculation (PBE-GGA) on crystalline LiY2Ga2 at its relaxed geometry.

Values from the calculation:
Symmetry: P4/mbm
Fermi-level density of states, states/eV/cell: 8.7
Energy relative to the lowest polymorph listed for this composition, eV per atom: 0.2430
Total magnetization, μB/cell: 0.000
Energy of formation from the pure elements, eV/atom: -0.2469

a = 8.7277 Å, b = 8.7277 Å, c = 3.2799 Å
α = 90.00°, β = 90.00°, γ = 90.00°
Element x y z (fractional)
Y: 0.3649 0.8649 0.0000
Y: 0.8649 0.6351 0.0000
Y: 0.6351 0.1351 0.0000
Y: 0.1351 0.3649 0.0000
Ga: 0.1675 0.6675 0.5000
Ga: 0.6675 0.8325 0.5000
Ga: 0.8325 0.3325 0.5000
Ga: 0.3325 0.1675 0.5000
Li: 0.0000 0.0000 0.0000
Li: 0.5000 0.5000 0.0000

=====

# 4
VASP calculation (PBE-GGA) on crystalline LiY2Ga3 at its relaxed geometry.

Values from the calculation:
Symmetry: Fmmm
Fermi-level density of states, states/eV/cell: 7.8
Total magnetization, μB/cell: 0.000
Energy of formation from the pure elements, eV/atom: -0.5677

a = 5.7327 Å, b = 5.7327 Å, c = 8.5300 Å
α = 105.35°, β = 105.35°, γ = 102.25°
Element x y z (fractional)
Li: 0.3320 0.3320 0.6640
Li: 0.6680 0.6680 0.3360
Y: 0.2500 0.7500 0.5000
Y: 0.7474 0.7474 0.0000
Y: 0.7500 0.2500 0.5000
Y: 0.2526 0.2526 0.0000
Ga: 0.6654 0.1660 0.8314
Ga: 0.8340 0.3346 0.1686
Ga: 0.3346 0.8340 0.1686
Ga: 0.1660 0.6654 0.8314
Ga: 0.8325 0.8325 0.6649
Ga: 0.1675 0.1675 0.3351

=====

# 5
VASP calculation (PBE-GGA) on crystalline LiY3Ga8 at its relaxed geometry.

Values from the calculation:
Symmetry: R3m
Fermi-level density of states, states/eV/cell: 5.7
Total magnetization, μB/cell: 0.000
Energy of formation from the pure elements, eV/atom: -0.4729

a = 5.4831 Å, b = 5.4831 Å, c = 9.5165 Å
α = 73.26°, β = 73.26°, γ = 60.00°
Element x y z (fractional)
Li: 0.8728 0.8728 0.3815
Y: 0.3751 0.3751 0.8748
Y: 0.9951 0.9951 0.0147
Y: 0.5035 0.5035 0.4896
Ga: 0.9392 0.4372 0.1865
Ga: 0.4378 0.9382 0.6858
Ga: 0.4372 0.4372 0.1865
Ga: 0.9382 0.9382 0.6858
Ga: 0.1881 0.1881 0.4357
Ga: 0.6878 0.6878 0.9366
Ga: 0.4372 0.9392 0.1865
Ga: 0.9382 0.4378 0.6858

=====

# 6
VASP calculation (PBE-GGA) on crystalline Li2YGa2 at its relaxed geometry.

Values from the calculation:
Symmetry: P4/mbm
Fermi-level density of states, states/eV/cell: 4.8
Energy relative to the lowest polymorph listed for this composition, eV per atom: 0.0840
Total magnetization, μB/cell: 0.434
Energy of formation from the pure elements, eV/atom: -0.3089

a = 7.8860 Å, b = 7.8860 Å, c = 2.9480 Å
α = 90.00°, β = 90.00°, γ = 90.00°
Element x y z (fractional)
Y: 0.0000 0.0000 0.0000
Y: 0.5000 0.5000 0.0000
Ga: 0.1783 0.6783 0.5000
Ga: 0.6783 0.8217 0.5000
Ga: 0.8217 0.3217 0.5000
Ga: 0.3217 0.1783 0.5000
Li: 0.3833 0.8833 0.0000
Li: 0.8833 0.6167 0.0000
Li: 0.6167 0.1167 0.0000
Li: 0.1167 0.3833 0.0000

=====

# 7
VASP calculation (PBE-GGA) on crystalline LiY2Ga9 at its relaxed geometry.

Values from the calculation:
Symmetry: P4/mmm
Fermi-level density of states, states/eV/cell: 3.8
Total magnetization, μB/cell: 0.000
Energy of formation from the pure elements, eV/atom: -0.4090

a = 4.2442 Å, b = 4.2442 Å, c = 12.4759 Å
α = 90.00°, β = 90.00°, γ = 90.00°
Element x y z (fractional)
Li: 0.0000 0.0000 0.0000
Y: 0.0000 0.0000 0.3231
Y: 0.0000 0.0000 0.6769
Ga: 0.5000 0.5000 0.0000
Ga: 0.5000 0.5000 0.3376
Ga: 0.5000 0.5000 0.6624
Ga: 0.5000 0.0000 0.1470
Ga: 0.5000 0.0000 0.5000
Ga: 0.5000 0.0000 0.8530
Ga: 0.0000 0.5000 0.1470
Ga: 0.0000 0.5000 0.5000
Ga: 0.0000 0.5000 0.8530

=====

# 8
VASP calculation (PBE-GGA) on crystalline Li6Y2Ga3 at its relaxed geometry.

Values from the calculation:
Symmetry: P-62m
Fermi-level density of states, states/eV/cell: 6.6
Total magnetization, μB/cell: 0.000
Energy of formation from the pure elements, eV/atom: -0.2231

a = 4.2285 Å, b = 7.6737 Å, c = 7.6737 Å
α = 120.00°, β = 90.00°, γ = 90.00°
Element x y z (fractional)
Li: 0.5000 0.2446 0.0000
Li: 0.5000 0.7554 0.7554
Li: 0.0000 0.7913 0.0000
Li: 0.0000 0.0000 0.7913
Li: 0.5000 0.0000 0.2446
Li: 0.0000 0.2087 0.2087
Y: 0.0000 0.6667 0.3333
Y: 0.0000 0.3333 0.6667
Ga: 0.5000 0.5799 0.0000
Ga: 0.5000 0.0000 0.5799
Ga: 0.5000 0.4201 0.4201